[1]
Below is a geometry-optimized Ac3Pr7Ho2 structure, with properties calculated at the PBE level.

Properties
The formation energy is 0.210 eV per atom. The energy comes out at -4.368 eV per atom.

a b c (Å): 3.8079 5.8928 21.1775
angles (deg): 90.00 95.20 90.00
Sites, in units of the cell vectors:
Ac (0.0000, 0.0000, 0.0000)
Ac (0.3225, 0.5000, 0.6489)
Ac (0.6775, 0.5000, 0.3511)
Pr (0.0914, 0.5000, 0.1770)
Pr (0.2174, 0.0000, 0.4358)
Pr (0.4266, 0.0000, 0.8577)
Pr (0.5000, 0.5000, 0.0000)
Pr (0.5734, 0.0000, 0.1423)
Pr (0.7826, 0.0000, 0.5642)
Pr (0.9086, 0.5000, 0.8230)
Ho (0.1425, 0.0000, 0.2797)
Ho (0.8575, 0.0000, 0.7203)

***

[2]
Below is a geometry-optimized NaCuSn4 structure, with properties calculated at the PBE level.

Properties
The formation energy is -0.014 eV per atom. The energy comes out at -3.585 eV per atom.

a b c (Å): 4.4700 4.4631 8.3866
angles (deg): 90.00 90.13 90.00
Sites, in units of the cell vectors:
Na (0.0000, 0.0000, 0.0000)
Cu (0.5000, 0.5000, 0.5000)
Sn (0.9999, 0.5000, 0.3037)
Sn (0.0001, 0.5000, 0.6963)
Sn (0.5001, 0.0000, 0.3024)
Sn (0.4999, 0.0000, 0.6976)

***

[3]
Below is a geometry-optimized Ca2Sc2Sb2As structure, with properties calculated at the PBE level.

Properties
The energy comes out at -5.168 eV per atom.

a b c (Å): 8.8028 8.8028 8.8028
angles (deg): 147.00 147.00 47.36
Sites, in units of the cell vectors:
Ca (0.1762, 0.1762, 0.0000)
Ca (0.8238, 0.8238, 0.0000)
Sc (0.0000, 0.5000, 0.5000)
Sc (0.5000, 0.0000, 0.5000)
Sb (0.3720, 0.3720, 0.0000)
Sb (0.6280, 0.6280, 0.0000)
As (0.0000, 0.0000, 0.0000)

***

[4]
Below is a geometry-optimized RbTcPtRh2 structure, with properties calculated at the PBE level.

Properties
The formation energy is 1.581 eV per atom. The energy comes out at -4.834 eV per atom.

a b c (Å): 4.6566 4.6566 5.3436
angles (deg): 90.00 90.00 90.00
Sites, in units of the cell vectors:
Rb (0.0000, 0.0000, 0.0000)
Tc (0.0000, 0.0000, 0.5000)
Pt (0.5000, 0.5000, 0.0000)
Rh (0.0000, 0.5000, 0.5000)
Rh (0.5000, 0.0000, 0.5000)

***

[5]
Below is a geometry-optimized TlAgAu structure, with properties calculated at the PBE level.

Properties
The value obtained for the polymorph energy (0 for the lowest one) is 95 meV/atom. The formation energy is 0.094 eV per atom. The energy comes out at -2.737 eV per atom.

a b c (Å): 4.7074 4.7074 4.7074
angles (deg): 60.00 60.00 60.00
Sites, in units of the cell vectors:
Tl (0.0000, 0.0000, 0.0000)
Ag (0.5000, 0.5000, 0.5000)
Au (0.7500, 0.7500, 0.7500)

***

[6]
Below is a geometry-optimized Re4Ru3W2 structure, with properties calculated at the PBE level.

Properties
The formation energy is 0.226 eV per atom. The energy comes out at -11.276 eV per atom.

a b c (Å): 7.6618 7.6618 4.8180
angles (deg): 90.71 90.71 103.42
Sites, in units of the cell vectors:
Re (0.0274, 0.8320, 0.9725)
Re (0.1680, 0.9726, 0.5275)
Re (0.1883, 0.3080, 0.4465)
Re (0.3080, 0.1883, 0.9465)
Re (0.6920, 0.8117, 0.0535)
Re (0.8117, 0.6920, 0.5535)
Re (0.8320, 0.0274, 0.4725)
Re (0.9726, 0.1680, 0.0275)
Ru (0.1307, 0.6334, 0.4115)
Ru (0.3666, 0.8693, 0.0885)
Ru (0.4685, 0.5315, 0.2500)
Ru (0.5315, 0.4685, 0.7500)
Ru (0.6334, 0.1307, 0.9115)
Ru (0.8693, 0.3666, 0.5885)
W (0.1860, 0.5149, 0.9141)
W (0.4851, 0.8140, 0.5859)
W (0.5149, 0.1860, 0.4141)
W (0.8140, 0.4851, 0.0859)

***

[7]
Below is a geometry-optimized NaIn3Ag structure, with properties calculated at the PBE level.

Properties
The value obtained for the polymorph energy (0 for the lowest one) is 0 meV/atom. The formation energy is -0.072 eV per atom. The energy comes out at -2.549 eV per atom.

a b c (Å): 7.4432 4.4370 8.1749
angles (deg): 90.00 106.86 90.00
Sites, in units of the cell vectors:
Na (0.1848, 0.2500, 0.1671)
Na (0.8152, 0.7500, 0.8329)
In (0.0720, 0.2500, 0.6601)
In (0.3111, 0.7500, 0.9015)
In (0.3427, 0.7500, 0.5186)
In (0.6573, 0.2500, 0.4814)
In (0.6889, 0.2500, 0.0985)
In (0.9280, 0.7500, 0.3399)
Ag (0.4836, 0.2500, 0.7506)
Ag (0.5164, 0.7500, 0.2494)

***

[8]
Below is a geometry-optimized Rb2HfBr4F2 structure, with properties calculated at the PBE level.

Properties
The energy comes out at -4.710 eV per atom.

a b c (Å): 7.1910 7.1910 6.0937
angles (deg): 101.96 101.96 65.64
Sites, in units of the cell vectors:
Rb (0.1762, 0.1762, 0.3296)
Rb (0.8238, 0.8238, 0.6704)
Hf (0.5000, 0.5000, 0.0000)
Br (0.1601, 0.6489, 0.1935)
Br (0.3511, 0.8399, 0.8065)
Br (0.6489, 0.1601, 0.1935)
Br (0.8399, 0.3511, 0.8065)
F (0.3649, 0.3649, 0.7392)
F (0.6351, 0.6351, 0.2608)

***

[9]
Below is a geometry-optimized CaPa2RuN5 structure, with properties calculated at the PBE level.

Properties
The energy comes out at -9.002 eV per atom.

a b c (Å): 7.4510 7.4510 7.4510
angles (deg): 127.49 127.49 77.46
Sites, in units of the cell vectors:
Ca (0.2500, 0.2500, 0.0000)
Ca (0.7500, 0.7500, 0.0000)
Pa (0.1823, 0.6823, 0.8645)
Pa (0.3177, 0.1823, 0.5000)
Pa (0.6823, 0.8177, 0.5000)
Pa (0.8177, 0.3177, 0.1355)
Ru (0.2500, 0.7500, 0.5000)
Ru (0.7500, 0.2500, 0.5000)
N (0.0000, 0.0000, 0.0000)
N (0.0147, 0.2291, 0.5000)
N (0.2291, 0.7291, 0.2144)
N (0.2709, 0.4853, 0.5000)
N (0.4853, 0.9853, 0.2144)
N (0.5000, 0.5000, 0.0000)
N (0.5147, 0.0147, 0.7856)
N (0.7291, 0.5147, 0.5000)
N (0.7709, 0.2709, 0.7856)
N (0.9853, 0.7709, 0.5000)

***

[10]
Below is a geometry-optimized Hg3OsSe structure, with properties calculated at the PBE level.

Properties
The value obtained for the polymorph energy (0 for the lowest one) is 0 meV/atom. The energy comes out at -2.159 eV per atom.

a b c (Å): 5.2774 5.2774 5.2774
angles (deg): 90.00 90.00 90.00
Sites, in units of the cell vectors:
Hg (0.0000, 0.0000, 0.5000)
Hg (0.0000, 0.5000, 0.0000)
Hg (0.5000, 0.0000, 0.0000)
Os (0.0000, 0.0000, 0.0000)
Se (0.5000, 0.5000, 0.5000)

***

[11]
Below is a geometry-optimized RbGa6Pd structure, with properties calculated at the PBE level.

Properties
The formation energy is -0.243 eV per atom. The energy comes out at -3.284 eV per atom.

a b c (Å): 4.5092 4.5092 8.3603
angles (deg): 90.00 90.00 90.00
Sites, in units of the cell vectors:
Rb (0.0000, 0.0000, 0.0000)
Ga (0.0000, 0.5000, 0.3352)
Ga (0.0000, 0.5000, 0.6648)
Ga (0.5000, 0.0000, 0.3352)
Ga (0.5000, 0.0000, 0.6648)
Ga (0.5000, 0.5000, 0.1575)
Ga (0.5000, 0.5000, 0.8425)
Pd (0.0000, 0.0000, 0.5000)